(1)
A plane-wave DFT calculation with meta-GGA SCAN was carried out for a crystal of Nd6S4N3Cl relaxed with PBEsol.

Properties
* calculated volume: 21.609 A^3/atom
* space group: Pnma (62)
* total DFT energy (no corrections): -365.44 eV per formula unit
* spin magnetization: 0.00 μB/atom
* uncorrected formation energy: -2.11 eV per atom

Unit cell a=3.989 b=11.499 c=26.384 alpha=90.00 beta=90.00 gamma=90.00
Positions (direct):
1 S 0.750 0.458 0.635
2 S 0.250 0.180 0.640
3 S 0.750 0.820 0.360
4 S 0.750 0.320 0.140
5 S 0.250 0.147 0.506
6 S 0.250 0.042 0.135
7 S 0.250 0.713 0.603
8 S 0.750 0.853 0.494
9 S 0.250 0.542 0.365
10 S 0.750 0.287 0.397
11 S 0.250 0.680 0.860
12 S 0.250 0.647 0.994
13 S 0.750 0.353 0.006
14 S 0.250 0.213 0.897
15 S 0.750 0.787 0.103
16 S 0.750 0.958 0.865
17 Cl 0.250 0.131 0.767
18 Cl 0.750 0.369 0.267
19 Cl 0.750 0.869 0.233
20 Cl 0.250 0.631 0.733
21 N 0.250 0.062 0.376
22 N 0.750 0.386 0.760
23 N 0.750 0.886 0.740
24 N 0.250 0.598 0.491
25 N 0.250 0.562 0.124
26 N 0.250 0.614 0.240
27 N 0.750 0.938 0.624
28 N 0.250 0.098 0.009
29 N 0.250 0.114 0.260
30 N 0.750 0.902 0.991
31 N 0.750 0.402 0.509
32 N 0.750 0.438 0.876
33 Nd 0.750 0.556 0.074
34 Nd 0.750 0.264 0.566
35 Nd 0.750 0.091 0.960
36 Nd 0.250 0.444 0.926
37 Nd 0.750 0.056 0.426
38 Nd 0.250 0.909 0.040
39 Nd 0.750 0.619 0.295
40 Nd 0.750 0.055 0.692
41 Nd 0.250 0.945 0.308
42 Nd 0.750 0.555 0.808
43 Nd 0.250 0.881 0.795
44 Nd 0.750 0.762 0.669
45 Nd 0.750 0.764 0.934
46 Nd 0.750 0.591 0.540
47 Nd 0.250 0.445 0.192
48 Nd 0.750 0.119 0.205
49 Nd 0.250 0.736 0.434
50 Nd 0.750 0.262 0.831
51 Nd 0.250 0.238 0.331
52 Nd 0.250 0.409 0.460
53 Nd 0.250 0.738 0.169
54 Nd 0.250 0.381 0.705
55 Nd 0.250 0.944 0.574
56 Nd 0.250 0.236 0.066

(2)
A plane-wave DFT calculation with meta-GGA SCAN was carried out for a crystal of GaH2S2 relaxed with PBEsol.

Properties
* calculated volume: 14.066 A^3/atom
* space group: P4/mbm (127)
* total DFT energy (no corrections): -41.90 eV per formula unit
* spin magnetization: 0.00 μB/atom

Unit cell a=3.085 b=6.753 c=6.753 alpha=90.00 beta=90.00 gamma=90.00
Positions (direct):
1 S 0.000 0.809 0.309
2 S 0.000 0.191 0.691
3 S 0.000 0.309 0.191
4 S 0.000 0.691 0.809
5 H 0.500 0.639 0.861
6 H 0.500 0.861 0.361
7 H 0.500 0.361 0.139
8 H 0.500 0.139 0.639
9 Ga 0.000 0.000 0.000
10 Ga 0.000 0.500 0.500

(3)
A plane-wave DFT calculation with meta-GGA SCAN was carried out for a crystal of KBP2PbO8 relaxed with PBEsol.

Properties
* calculated volume: 13.881 A^3/atom
* space group: Cc (9)
* total DFT energy (no corrections): -193.49 eV per formula unit
* spin magnetization: 0.00 μB/atom
* uncorrected formation energy: -2.41 eV per atom

Unit cell a=7.104 b=7.104 c=8.529 alpha=112.59 beta=112.59 gamma=90.35
Positions (direct):
1 O 0.934 0.509 0.396
2 O 0.855 0.971 0.898
3 O 0.035 0.669 0.104
4 O 0.208 0.044 0.324
5 O 0.542 0.562 0.709
6 O 0.737 0.251 0.077
7 O 0.971 0.855 0.398
8 O 0.628 0.269 0.338
9 O 0.951 0.812 0.651
10 O 0.044 0.208 0.824
11 O 0.251 0.737 0.577
12 O 0.669 0.035 0.604
13 O 0.562 0.542 0.209
14 O 0.812 0.951 0.151
15 O 0.269 0.628 0.838
16 O 0.509 0.934 0.896
17 K 0.377 0.219 0.733
18 K 0.219 0.377 0.233
19 B 0.729 0.026 0.003
20 B 0.026 0.729 0.503
21 P 0.019 0.877 0.240
22 P 0.395 0.704 0.757
23 P 0.877 0.019 0.740
24 P 0.704 0.395 0.257
25 Pb 0.910 0.519 0.770
26 Pb 0.519 0.910 0.270

(4)
A plane-wave DFT calculation with meta-GGA SCAN was carried out for a crystal of Ti2NiBPd relaxed with PBEsol.

Properties
* calculated volume: 16.348 A^3/atom
* space group: P4/mmm (123)
* total DFT energy (no corrections): -83.54 eV per formula unit
* spin magnetization: 0.00 μB/atom
* formation energy from the elements: 980 meV per atom

Unit cell a=4.285 b=4.285 c=4.452 alpha=90.00 beta=90.00 gamma=90.00
Positions (direct):
1 Ni 0.000 0.000 0.000
2 Ti 0.000 0.500 0.000
3 Ti 0.500 0.000 0.000
4 B 0.500 0.500 0.500
5 Pd 0.000 0.000 0.500